DFT (PBE-GGA) results for crystalline KCdIn2 at its relaxed geometry.

The structure belongs to space group R-3m (No. 166, hexagonal axes); the cell edges are 3.6495, 3.6495 and 31.5276 Å and the angles 90.00°, 90.00° and 120.00°. The asymmetric unit holds K at (0.0000, 0.0000, 0.0000), Cd at (0.0000, 0.0000, 0.5000) and In at (0.0000, 0.0000, 0.2386).

As for the total moment: 0.00 μB/f.u. The crystal system is trigonal. As for the uncorrected energy: -22.156 eV for the cell shown. The calculated formation energy is 0.6 kcal/mol of atoms.